(1)
An optimized crystal structure of MgRhAu2. Source: Alexandria via LeMat-Bulk, functional GGA-PBEsol.

Cell and atoms, written as POSCAR:
```
MgRhAu2
1.0
-2.006 2.006 3.951
2.006 -2.006 3.951
2.006 2.006 -3.951
Mg Rh Au
1 1 2
Direct
0.000 0.000 0.000
0.250 0.750 0.500
0.500 0.500 0.000
0.750 0.250 0.500
```

## Properties
Energy of formation (eV per atom): -0.289

***

(2)
An optimized crystal structure of Cd2TeO. Source: Alexandria via LeMat-Bulk, functional GGA-PBEsol.

Cell and atoms, written as POSCAR:
```
Cd2TeO
1.0
-2.889 2.889 5.617
2.889 -2.889 5.617
2.889 2.889 -5.617
Cd Te O
4 2 2
Direct
0.034 0.625 0.909
0.375 0.284 0.409
0.716 0.125 0.091
0.875 0.966 0.591
0.250 0.750 0.500
0.500 0.500 0.000
0.000 0.000 0.000
0.750 0.250 0.500
```

## Properties
Formation energy (no corrections) (eV per atom): -0.607

***

(3)
An optimized crystal structure of Zr2NiS4. Source: Alexandria via LeMat-Bulk, functional GGA-PBEsol.

Cell and atoms, written as POSCAR:
```
Zr2NiS4
1.0
6.532 -1.817 0.000
6.532 1.817 0.000
-2.938 0.000 5.471
Zr Ni S
2 1 4
Direct
0.000 0.000 0.000
0.505 0.505 0.494
0.327 0.327 0.989
0.133 0.133 0.791
0.374 0.374 0.694
0.632 0.632 0.290
0.870 0.870 0.205
```

## Properties
Formation energy (no corrections) (eV per atom): -1.436

***

(4)
An optimized crystal structure of Mg30CrCdO32. Source: Alexandria via LeMat-Bulk, functional GGA-PBEsol.

Cell and atoms, written as POSCAR:
```
Mg30CrCdO32
1.0
8.500 0.000 0.000
0.000 8.500 0.000
0.000 0.000 8.470
Mg Cr Cd O
30 1 1 32
Direct
0.000 0.000 0.000
0.000 0.000 0.500
0.000 0.250 0.250
0.000 0.250 0.750
0.000 0.500 0.000
0.000 0.500 0.500
0.000 0.750 0.250
0.000 0.750 0.750
0.247 0.500 0.248
0.247 0.500 0.752
0.248 0.248 0.500
0.248 0.752 0.500
0.250 0.000 0.250
0.250 0.000 0.750
0.250 0.250 0.000
0.250 0.750 0.000
0.500 0.000 0.000
0.500 0.000 0.500
0.500 0.247 0.248
0.500 0.247 0.752
0.500 0.753 0.248
0.500 0.753 0.752
0.750 0.000 0.250
0.750 0.000 0.750
0.750 0.250 0.000
0.750 0.750 0.000
0.752 0.248 0.500
0.752 0.752 0.500
0.753 0.500 0.248
0.753 0.500 0.752
0.500 0.500 0.000
0.500 0.500 0.500
0.000 0.000 0.250
0.000 0.000 0.750
0.000 0.248 0.500
0.000 0.249 0.000
0.000 0.500 0.249
0.000 0.500 0.751
0.000 0.751 0.000
0.000 0.752 0.500
0.237 0.500 0.500
0.242 0.500 0.000
0.248 0.000 0.500
0.249 0.000 0.000
0.251 0.251 0.250
0.251 0.251 0.750
0.251 0.749 0.250
0.251 0.749 0.750
0.500 0.000 0.249
0.500 0.000 0.751
0.500 0.237 0.500
0.500 0.242 0.000
0.500 0.500 0.234
0.500 0.500 0.766
0.500 0.758 0.000
0.500 0.763 0.500
0.749 0.251 0.250
0.749 0.251 0.750
0.749 0.749 0.250
0.749 0.749 0.750
0.751 0.000 0.000
0.752 0.000 0.500
0.758 0.500 0.000
0.763 0.500 0.500
```

## Properties
Formation energy (no corrections) (eV per atom): -2.622

***

(5)
An optimized crystal structure of AlCd3Ru. Source: Alexandria via LeMat-Bulk, functional GGA-PBEsol.

Cell and atoms, written as POSCAR:
```
AlCd3Ru
1.0
5.071 0.000 0.000
0.000 5.071 0.000
0.000 0.000 5.071
Al Cd Ru
1 3 1
Direct
0.000 0.000 0.000
0.000 0.500 0.500
0.500 0.000 0.500
0.500 0.500 0.000
0.500 0.500 0.500
```

## Properties
Energy of formation (eV per atom): 0.829

***

(6)
An optimized crystal structure of LaNi2GeP. Source: Alexandria via LeMat-Bulk, functional GGA-PBEsol.

Cell and atoms, written as POSCAR:
```
LaNi2GeP
1.0
-2.020 2.020 4.845
2.020 -2.020 4.845
2.020 2.020 -4.845
La Ni Ge P
1 2 1 1
Direct
0.000 0.000 0.000
0.259 0.759 0.500
0.759 0.259 0.500
0.632 0.632 0.000
0.367 0.367 0.000
```

## Properties
Energy of formation (eV per atom): -0.912

***

(7)
An optimized crystal structure of Fe2AsIr. Source: Alexandria via LeMat-Bulk, functional GGA-PBEsol.

Cell and atoms, written as POSCAR:
```
Fe2AsIr
1.0
4.059 -1.418 0.000
4.059 1.418 0.000
-0.756 0.000 4.475
Fe As Ir
2 1 1
Direct
0.000 0.000 0.000
0.740 0.740 0.200
0.242 0.242 0.744
0.486 0.486 0.484
```

## Properties
Energy of formation (eV per atom): 0.060

***

(8)
An optimized crystal structure of Tm5Ga3. Source: Alexandria via LeMat-Bulk, functional GGA-PBEsol.

Cell and atoms, written as POSCAR:
```
Tm5Ga3
1.0
8.375 0.000 0.000
-4.187 7.253 0.000
0.000 0.000 6.267
Tm Ga
10 6
Direct
0.000 0.243 0.250
0.000 0.757 0.750
0.243 0.000 0.250
0.243 0.243 0.750
0.333 0.667 0.000
0.333 0.667 0.500
0.667 0.333 0.000
0.667 0.333 0.500
0.757 0.000 0.750
0.757 0.757 0.250
0.000 0.401 0.750
0.000 0.599 0.250
0.401 0.000 0.750
0.401 0.401 0.250
0.599 0.000 0.250
0.599 0.599 0.750
```

## Properties
Energy of formation (eV per atom): -0.499

***

(9)
An optimized crystal structure of Zn2TcAu. Source: Alexandria via LeMat-Bulk, functional GGA-PBEsol.

Cell and atoms, written as POSCAR:
```
Zn2TcAu
1.0
0.000 3.089 3.089
3.089 0.000 3.089
3.089 3.089 0.000
Zn Tc Au
2 1 1
Direct
0.000 0.000 0.000
0.250 0.250 0.250
0.750 0.750 0.750
0.500 0.500 0.500
```

## Properties
Energy of formation (eV per atom): 0.279

***

(10)
An optimized crystal structure of FeCu2Ir. Source: Alexandria via LeMat-Bulk, functional GGA-PBEsol.

Cell and atoms, written as POSCAR:
```
FeCu2Ir
1.0
2.580 0.000 0.000
0.000 3.749 0.000
0.000 0.000 5.055
Fe Cu Ir
1 2 1
Direct
0.000 0.000 0.000
0.500 0.500 0.244
0.500 0.500 0.756
0.000 0.000 0.500
```

## Properties
Energy of formation (eV per atom): 0.179

***

(11)
An optimized crystal structure of Cs4Rb2Fe2O5. Source: Alexandria via LeMat-Bulk, functional GGA-PBEsol.

Cell and atoms, written as POSCAR:
```
Cs4Rb2Fe2O5
1.0
3.625 -5.941 0.000
3.625 5.941 0.000
-0.486 0.000 7.113
Cs Rb Fe O
4 2 2 5
Direct
0.246 0.754 0.000
0.341 0.341 0.685
0.659 0.659 0.315
0.754 0.246 0.000
0.214 0.786 0.500
0.786 0.214 0.500
0.194 0.194 0.194
0.806 0.806 0.806
0.000 0.000 0.000
0.158 0.423 0.286
0.423 0.158 0.286
0.577 0.842 0.714
0.842 0.577 0.714
```

## Properties
Formation energy (no corrections) (eV per atom): -1.182

***

(12)
An optimized crystal structure of Cr2SbI. Source: Alexandria via LeMat-Bulk, functional GGA-PBEsol.

Cell and atoms, written as POSCAR:
```
Cr2SbI
1.0
-3.546 3.546 4.168
3.546 -3.546 4.168
3.546 3.546 -4.168
Cr Sb I
4 2 2
Direct
0.110 0.125 0.485
0.375 0.890 0.015
0.640 0.625 0.515
0.875 0.360 0.985
0.000 0.000 0.000
0.750 0.250 0.500
0.250 0.750 0.500
0.500 0.500 0.000
```

## Properties
Formation energy (no corrections) (eV per atom): 0.593

***

(13)
An optimized crystal structure of Sc2InW. Source: Alexandria via LeMat-Bulk, functional GGA-PBEsol.

Cell and atoms, written as POSCAR:
```
Sc2InW
1.0
3.079 -4.259 0.000
3.079 4.259 0.000
0.000 0.000 2.941
Sc In W
2 1 1
Direct
0.000 0.500 0.000
0.500 0.000 0.000
0.000 0.000 0.500
0.500 0.500 0.500
```

## Properties
Energy of formation (eV per atom): 0.068

***

(14)
An optimized crystal structure of NbWSe4. Source: Alexandria via LeMat-Bulk, functional GGA-PBEsol.

Cell and atoms, written as POSCAR:
```
NbWSe4
1.0
3.344 0.000 0.000
-1.672 2.896 0.000
0.000 0.000 12.871
Nb W Se
1 1 4
Direct
0.000 0.000 0.000
0.333 0.667 0.500
0.000 0.000 0.372
0.000 0.000 0.628
0.333 0.667 0.133
0.333 0.667 0.867
```

## Properties
Formation energy (no corrections) (eV per atom): -0.714

***

(15)
An optimized crystal structure of BaMo2P4O16. Source: Alexandria via LeMat-Bulk, functional GGA-PBEsol.

Cell and atoms, written as POSCAR:
```
BaMo2P4O16
1.0
6.463 0.000 0.000
0.000 12.403 0.000
-5.124 0.000 7.652
Ba Mo P O
2 4 8 32
Direct
0.000 0.000 0.000
0.000 0.500 0.500
0.463 0.190 0.664
0.463 0.310 0.164
0.537 0.690 0.836
0.537 0.810 0.336
0.122 0.693 0.932
0.122 0.807 0.432
0.343 0.556 0.248
0.343 0.944 0.748
0.657 0.056 0.252
0.657 0.444 0.752
0.878 0.193 0.568
0.878 0.307 0.068
0.160 0.209 0.667
0.160 0.291 0.167
0.177 0.530 0.307
0.177 0.970 0.807
0.182 0.586 0.044
0.182 0.914 0.544
0.189 0.672 0.799
0.189 0.828 0.299
0.271 0.715 0.558
0.271 0.785 0.058
0.327 0.157 0.455
0.327 0.343 0.955
0.466 0.148 0.154
0.466 0.352 0.654
0.492 0.539 0.742
0.492 0.961 0.242
0.508 0.039 0.758
0.508 0.461 0.258
0.534 0.648 0.346
0.534 0.852 0.846
0.673 0.657 0.045
0.673 0.843 0.545
0.729 0.215 0.942
0.729 0.285 0.442
0.811 0.172 0.701
0.811 0.328 0.201
0.818 0.086 0.456
0.818 0.414 0.956
0.823 0.030 0.193
0.823 0.470 0.693
0.840 0.709 0.833
0.840 0.791 0.333
```

## Properties
Formation energy (no corrections) (eV per atom): -2.238

***

(16)
An optimized crystal structure of Sr2ScAs. Source: Alexandria via LeMat-Bulk, functional GGA-PBEsol.

Cell and atoms, written as POSCAR:
```
Sr2ScAs
1.0
3.729 0.000 0.000
0.000 3.729 0.000
0.000 0.000 9.120
Sr Sc As
2 1 1
Direct
0.000 0.000 0.000
0.500 0.500 0.367
0.500 0.500 0.712
0.000 0.000 0.624
```

## Properties
Energy of formation (eV per atom): -0.501

***

(17)
An optimized crystal structure of BiPtRhN2. Source: Alexandria via LeMat-Bulk, functional GGA-PBEsol.

Cell and atoms, written as POSCAR:
```
BiPtRhN2
1.0
3.735 0.000 0.000
0.000 3.735 0.000
0.000 0.000 6.388
Bi Pt Rh N
1 1 1 2
Direct
0.000 0.000 0.000
0.000 0.000 0.500
0.500 0.500 0.000
0.000 0.500 0.500
0.500 0.000 0.500
```

## Properties
Formation energy (no corrections) (eV per atom): 1.209

***

(18)
An optimized crystal structure of K3PuH6O8. Source: Alexandria via LeMat-Bulk, functional GGA-PBEsol.

Cell and atoms, written as POSCAR:
```
K3PuH6O8
1.0
7.752 0.000 0.000
0.000 8.212 0.000
-3.671 0.000 6.660
K Pu H O
6 2 12 16
Direct
0.000 0.000 0.000
0.000 0.500 0.500
0.410 0.192 0.953
0.410 0.308 0.453
0.590 0.692 0.547
0.590 0.808 0.047
0.000 0.000 0.500
0.000 0.500 0.000
0.191 0.720 0.857
0.191 0.780 0.357
0.362 0.539 0.820
0.362 0.961 0.320
0.424 0.541 0.119
0.424 0.959 0.619
0.576 0.041 0.381
0.576 0.459 0.881
0.638 0.039 0.680
0.638 0.461 0.180
0.809 0.220 0.643
0.809 0.280 0.143
0.138 0.196 0.562
0.138 0.304 0.062
0.167 0.575 0.268
0.167 0.925 0.768
0.222 0.604 0.903
0.222 0.896 0.403
0.451 0.000 0.264
0.451 0.500 0.764
0.549 0.000 0.736
0.549 0.500 0.236
0.778 0.104 0.597
0.778 0.396 0.097
0.833 0.075 0.232
0.833 0.425 0.732
0.862 0.696 0.938
0.862 0.804 0.438
```

## Properties
E_tot (eV per atom): -6.0847

***

(19)
An optimized crystal structure of ErGaAu. Source: Alexandria via LeMat-Bulk, functional GGA-PBEsol.

Cell and atoms, written as POSCAR:
```
ErGaAu
1.0
5.127 -2.202 0.000
5.127 2.202 0.000
-4.587 0.000 5.195
Er Ga Au
2 2 2
Direct
0.038 0.038 0.298
0.962 0.962 0.702
0.342 0.342 0.896
0.658 0.658 0.104
0.324 0.324 0.286
0.676 0.676 0.714
```

## Properties
Energy of formation (eV per atom): -0.840

***

(20)
An optimized crystal structure of Tc2PRhO. Source: Alexandria via LeMat-Bulk, functional GGA-PBEsol.

Cell and atoms, written as POSCAR:
```
Tc2PRhO
1.0
4.683 0.000 0.000
0.000 4.683 0.000
0.000 0.000 3.554
Tc P Rh O
2 1 1 1
Direct
0.000 0.500 0.000
0.500 0.000 0.000
0.000 0.000 0.500
0.500 0.500 0.000
0.500 0.500 0.500
```

## Properties
Formation energy (no corrections) (eV per atom): 1.187